(1)
Material: AgTe2Se
Method: DFT, meta-GGA SCAN
State: single point on PBEsol structure

abc: 3.941 3.941 13.908
angles: 90.00 90.00 90.00
Sites, in units of the cell vectors:
Ag (0.000, 0.000, 0.000)
Ag (0.500, 0.500, 0.500)
Te (0.000, 0.000, 0.500)
Te (0.000, 0.500, 0.750)
Te (0.500, 0.000, 0.250)
Te (0.500, 0.500, 0.000)
Se (0.000, 0.500, 0.250)
Se (0.500, 0.000, 0.750)

## Properties
total energy: -31.268 eV per atom
calculated volume: 27.00 Å³/atom
ρ: 6.795 g/cm³
E_form (uncorrected): 0.88 eV/f.u.

=====

(2)
Material: AgTe2Se
Method: DFT, meta-GGA SCAN
State: single point on PBEsol structure

abc: 4.193 4.193 19.535
angles: 90.00 90.00 120.00
Sites, in units of the cell vectors:
Ag (0.000, 0.000, 0.000)
Ag (0.333, 0.667, 0.667)
Ag (0.667, 0.333, 0.333)
Te (0.000, 0.000, 0.252)
Te (0.000, 0.000, 0.489)
Te (0.333, 0.667, 0.156)
Te (0.333, 0.667, 0.919)
Te (0.667, 0.333, 0.585)
Te (0.667, 0.333, 0.822)
Se (0.000, 0.000, 0.732)
Se (0.333, 0.667, 0.399)
Se (0.667, 0.333, 0.065)

## Properties
total energy: -31.455 eV per atom
calculated volume: 24.78 Å³/atom
ρ: 7.405 g/cm³
E_form (uncorrected): 0.13 eV/f.u.

=====

(3)
Material: Ag2TeSe
Method: DFT, meta-GGA SCAN
State: single point on PBEsol structure

abc: 3.003 4.142 7.057
angles: 90.00 90.00 90.00
Sites, in units of the cell vectors:
Ag (0.000, 0.000, 0.000)
Ag (0.500, 0.500, 0.225)
Te (0.500, 0.500, 0.789)
Se (0.000, 0.000, 0.381)

## Properties
total energy: -29.980 eV per atom
calculated volume: 21.95 Å³/atom
ρ: 7.988 g/cm³
E_form (uncorrected): 0.14 eV/f.u.
energy relative to the lowest polymorph listed for this composition: 0.070 eV/atom

=====

(4)
Material: Ag3TeSe
Method: DFT, meta-GGA SCAN
State: single point on PBEsol structure

abc: 5.157 5.157 5.157
angles: 90.00 90.00 90.00
Sites, in units of the cell vectors:
Ag (0.000, 0.000, 0.500)
Ag (0.000, 0.500, 0.000)
Ag (0.500, 0.000, 0.000)
Te (0.000, 0.000, 0.000)
Se (0.500, 0.500, 0.500)

## Properties
total energy: -29.833 eV per atom
calculated volume: 27.43 Å³/atom
ρ: 6.419 g/cm³
E_form (uncorrected): 2.26 eV/f.u.

=====

(5)
Material: Ti6Tl5AgSe27
Method: DFT, meta-GGA SCAN
State: single point on PBEsol structure

abc: 12.886 12.886 13.593
angles: 90.00 90.00 120.00
Sites, in units of the cell vectors:
Ti (0.014, 0.341, 0.000)
Ti (0.016, 0.351, 0.741)
Ti (0.327, 0.986, 0.000)
Ti (0.335, 0.984, 0.741)
Ti (0.341, 0.014, 0.500)
Ti (0.351, 0.016, 0.241)
Ti (0.649, 0.665, 0.741)
Ti (0.659, 0.673, 0.000)
Ti (0.665, 0.649, 0.241)
Ti (0.673, 0.659, 0.500)
Ti (0.984, 0.335, 0.241)
Ti (0.986, 0.327, 0.500)
Tl (0.059, 0.686, 0.864)
Tl (0.314, 0.374, 0.864)
Tl (0.333, 0.667, 0.066)
Tl (0.333, 0.667, 0.697)
Tl (0.374, 0.314, 0.364)
Tl (0.626, 0.941, 0.864)
Tl (0.667, 0.333, 0.197)
Tl (0.667, 0.333, 0.566)
Tl (0.686, 0.059, 0.364)
Tl (0.941, 0.626, 0.364)
Ag (0.000, 0.000, 0.118)
Ag (0.000, 0.000, 0.618)
Se (0.018, 0.503, 0.615)
Se (0.082, 0.194, 0.746)
Se (0.102, 0.892, 0.012)
Se (0.108, 0.210, 0.012)
Se (0.111, 0.918, 0.746)
Se (0.121, 0.320, 0.370)
Se (0.133, 0.556, 0.241)
Se (0.147, 0.489, 0.874)
Se (0.164, 0.350, 0.622)
Se (0.169, 0.370, 0.126)
Se (0.185, 0.836, 0.622)
Se (0.194, 0.082, 0.246)
Se (0.195, 0.507, 0.458)
Se (0.199, 0.879, 0.370)
Se (0.201, 0.831, 0.126)
Se (0.210, 0.108, 0.512)
Se (0.311, 0.805, 0.458)
Se (0.320, 0.121, 0.870)
Se (0.342, 0.853, 0.874)
Se (0.350, 0.164, 0.122)
Se (0.370, 0.169, 0.626)
Se (0.424, 0.867, 0.241)
Se (0.444, 0.576, 0.241)
Se (0.486, 0.982, 0.615)
Se (0.489, 0.147, 0.374)
Se (0.493, 0.689, 0.458)
Se (0.497, 0.514, 0.615)
Se (0.503, 0.018, 0.115)
Se (0.507, 0.195, 0.958)
Se (0.511, 0.658, 0.874)
Se (0.514, 0.497, 0.115)
Se (0.556, 0.133, 0.741)
Se (0.576, 0.444, 0.741)
Se (0.630, 0.799, 0.126)
Se (0.650, 0.815, 0.622)
Se (0.658, 0.511, 0.374)
Se (0.680, 0.801, 0.370)
Se (0.689, 0.493, 0.958)
Se (0.790, 0.898, 0.012)
Se (0.799, 0.630, 0.626)
Se (0.801, 0.680, 0.870)
Se (0.805, 0.311, 0.958)
Se (0.806, 0.889, 0.746)
Se (0.815, 0.650, 0.122)
Se (0.831, 0.201, 0.626)
Se (0.836, 0.185, 0.122)
Se (0.853, 0.342, 0.374)
Se (0.867, 0.424, 0.741)
Se (0.879, 0.199, 0.870)
Se (0.889, 0.806, 0.246)
Se (0.892, 0.102, 0.512)
Se (0.898, 0.790, 0.512)
Se (0.918, 0.111, 0.246)
Se (0.982, 0.486, 0.115)

## Properties
total energy: -27.150 eV per atom
calculated volume: 25.06 Å³/atom
ρ: 6.030 g/cm³
E_form (uncorrected): -27.39 eV/f.u.

=====

(6)
Material: TlAg2Se
Method: DFT, meta-GGA SCAN
State: single point on PBEsol structure

abc: 3.753 3.753 5.770
angles: 90.00 90.00 90.00
Sites, in units of the cell vectors:
Tl (0.000, 0.000, 0.000)
Ag (0.000, 0.000, 0.496)
Ag (0.500, 0.500, 0.261)
Se (0.500, 0.500, 0.718)

## Properties
total energy: -38.700 eV per atom
calculated volume: 20.32 Å³/atom
ρ: 10.198 g/cm³
E_form (uncorrected): 0.37 eV/f.u.

=====

(7)
Material: TlAg2Se
Method: DFT, meta-GGA SCAN
State: single point on PBEsol structure

abc: 4.249 4.440 4.745
angles: 90.00 92.64 90.00
Sites, in units of the cell vectors:
Tl (0.000, 0.000, 0.000)
Ag (0.280, 0.500, 0.742)
Ag (0.720, 0.500, 0.258)
Se (0.500, 0.000, 0.500)

## Properties
total energy: -38.755 eV per atom
calculated volume: 22.36 Å³/atom
ρ: 9.267 g/cm³
E_form (uncorrected): 0.15 eV/f.u.

=====

(8)
Material: Tl2AgSe
Method: DFT, meta-GGA SCAN
State: single point on PBEsol structure

abc: 3.806 3.806 6.484
angles: 90.00 90.00 90.00
Sites, in units of the cell vectors:
Tl (0.000, 0.000, 0.249)
Tl (0.000, 0.000, 0.751)
Ag (0.500, 0.500, 0.000)
Se (0.500, 0.500, 0.500)

## Properties
total energy: -49.017 eV per atom
calculated volume: 23.48 Å³/atom
ρ: 10.529 g/cm³
E_form (uncorrected): 0.09 eV/f.u.

=====

(9)
Material: AgW3Se
Method: DFT, meta-GGA SCAN
State: single point on PBEsol structure

abc: 4.551 4.551 4.551
angles: 90.00 90.00 90.00
Sites, in units of the cell vectors:
Ag (0.000, 0.000, 0.000)
W (0.000, 0.500, 0.500)
W (0.500, 0.000, 0.500)
W (0.500, 0.500, 0.000)
Se (0.500, 0.500, 0.500)

## Properties
total energy: -50.209 eV per atom
calculated volume: 18.85 Å³/atom
ρ: 13.011 g/cm³
E_form (uncorrected): 9.46 eV/f.u.

=====

(10)
Material: AgWSe2
Method: DFT, meta-GGA SCAN
State: single point on PBEsol structure

abc: 3.234 4.011 5.544
angles: 90.00 90.00 90.00
Sites, in units of the cell vectors:
Ag (0.000, 0.000, 0.000)
W (0.500, 0.000, 0.500)
Se (0.000, 0.500, 0.500)
Se (0.500, 0.500, 0.000)

## Properties
total energy: -34.372 eV per atom
calculated volume: 17.98 Å³/atom
ρ: 10.383 g/cm³
E_form (uncorrected): 3.72 eV/f.u.